No. 1
AlAg2Pb2 | GGA-PBE | optimized geometry

Computed properties:
Size of the total moment   0.00 μB per atom
DFT total energy   -2.957 eV/atom
Symmetry   No. 139

```
AlAg2Pb2
1.0
4.4640 0.0000 0.0000
0.0000 4.4640 0.0000
2.2320 2.2320 6.7008
Pb Al Ag
2 1 2
Cartesian
4.4640 2.2320 3.3504
2.2320 4.4640 3.3504
0.0000 0.0000 0.0000
2.2320 2.2320 1.3174
4.4640 4.4640 5.3834
```


No. 2
AlAgPb2 | GGA-PBE | optimized geometry

Computed properties:
Size of the total moment   0.00 μB per atom
DFT total energy   -3.416 eV/atom
Symmetry   No. 99

```
AlAgPb2
1.0
3.4505 0.0000 0.0000
0.0000 3.4495 0.0000
0.0000 0.0000 8.3139
Pb Al Ag
2 1 1
Cartesian
0.0000 0.0000 7.8900
1.7253 1.7247 2.5123
1.7253 1.7247 5.8464
0.0000 0.0000 4.5360
```


No. 3
AlAgPb2 | GGA-PBE | optimized geometry

Computed properties:
Size of the total moment   0.00 μB per atom
DFT total energy   -3.267 eV/atom
Symmetry   No. 216

```
AlAgPb2
1.0
5.2307 0.0000 0.0000
2.6154 4.5299 0.0000
2.6154 1.5100 4.2709
Pb Al Ag
2 1 1
Cartesian
0.0000 0.0000 0.0000
2.6154 1.5100 1.0677
7.8461 4.5299 3.2032
5.2307 3.0200 2.1354
```


No. 4
AlAgPb3 | GGA-PBE | optimized geometry

Computed properties:
Size of the total moment   0.00 μB per atom
DFT total energy   -3.022 eV/atom
Symmetry   No. 221

```
AlAgPb3
1.0
-0.0307 -4.7377 -2.6708
2.9036 2.2441 -4.0141
4.5987 -1.4485 2.5167
Pb Al Ag
3 1 1
Cartesian
1.4518 1.1220 -2.0071
2.2994 -0.7243 1.2583
-0.0153 -2.3689 -1.3354
0.0000 0.0000 0.0000
3.7358 -1.9711 -2.0841
```


No. 5
AlAgPb2 | GGA-PBE | optimized geometry

Computed properties:
Size of the total moment   0.00 μB per atom
DFT total energy   -3.309 eV/atom
Symmetry   No. 65

```
AlAgPb2
1.0
3.3944 0.0058 0.0000
-0.0527 3.3940 0.0000
0.0000 0.0000 8.5988
Pb Al Ag
2 1 1
Cartesian
0.0000 0.0000 0.0666
0.0000 0.0000 4.2327
1.6709 1.6999 6.4491
1.6709 1.6999 2.1497
```


No. 6
AlAgPb4 | GGA-PBE | optimized geometry

Computed properties:
Size of the total moment   0.00 μB per atom
DFT total energy   -3.130 eV/atom
Symmetry   No. 216

```
AlAgPb4
1.0
-1.4583 -5.6296 -2.6904
-5.1811 -0.5199 -3.7341
0.6741 -0.8001 -6.3216
Al Ag Pb
1 1 4
Cartesian
0.0000 0.0000 0.0000
-4.4740 -5.2122 -9.5596
-2.9661 -5.4207 -6.1250
-1.9001 -3.0062 -7.9404
-4.8273 -2.8662 -6.6468
-2.2371 -2.6062 -4.7800
```